First-principles (GGA-PBE) data for Hf2FeCo2 after structural relaxation, as listed in Alexandria via LeMat-Bulk.

Results
The calculation puts the formation energy at -0.2236 eV per atom. As for the total energy: -8.740 eV per atom. The density of states at the Fermi level comes out at 11.27 states/eV per cell. Its symmetry is P4/mbm (127). The crystal system is tetragonal.

```
data_Hf2FeCo2
_chemical_formula_sum 'Hf4 Fe2 Co4'
_symmetry_space_group_name_H-M 'P 1'
_symmetry_Int_Tables_number 1
_cell_length_a 6.2825
_cell_length_b 6.2825
_cell_length_c 3.8284
_cell_angle_alpha 90.00
_cell_angle_beta 90.00
_cell_angle_gamma 90.00
loop_
_symmetry_equiv_pos_as_xyz
'x,y,z'
loop_
_atom_site_label
_atom_site_type_symbol
_atom_site_fract_x
_atom_site_fract_y
_atom_site_fract_z
Hf1 Hf 0.1778 0.3222 0.0000
Hf2 Hf 0.3222 0.8222 0.0000
Hf3 Hf 0.6778 0.1778 0.0000
Hf4 Hf 0.8222 0.6778 0.0000
Fe1 Fe 0.0000 0.0000 0.5000
Fe2 Fe 0.5000 0.5000 0.5000
Co1 Co 0.1314 0.6314 0.5000
Co2 Co 0.3686 0.1314 0.5000
Co3 Co 0.6314 0.8686 0.5000
Co4 Co 0.8686 0.3686 0.5000
```